Entry 1:
DFT (PBE) results for a relaxed structure of PmRe3N8.

It has space group P-3m1 (No. 164), with a = 5.7220 Å, b = 5.7220 Å, c = 6.4853 Å, α = 90.00°, β = 90.00° and γ = 120.00°. The asymmetric unit holds Pm at (0.0000, 0.0000, 0.0000), Re at (0.0000, 0.0000, 0.5000), Re at (0.3333, 0.6667, 0.7732), N at (0.1564, 0.3128, 0.6855) and N at (0.3333, 0.6667, 0.0434).

The value obtained for the uncorrected formation energy is 0.0255 eV/atom. As for the raw total energy: -9.0326 eV/atom. Its density is 7.37 g/cm³. The density of states at the Fermi level comes out at 2.613 states/eV/f.u.

---

Entry 2:
DFT (PBE) results for a relaxed structure of PmPuTcPd.

It has space group F-43m (No. 216), with a = 6.978 Å, b = 6.978 Å, c = 6.978 Å, α = 90.00°, β = 90.00° and γ = 90.00°. The asymmetric unit holds Pm at (0.000, 0.000, 0.000), Pu at (0.000, 0.000, 0.500), Tc at (0.250, 0.250, 0.750) and Pd at (0.250, 0.250, 0.250).

As for the raw total energy: -8.7930 eV/atom. Its density is 11.60 g/cm³. The density of states at the Fermi level comes out at 7.872 states/eV/f.u. As for the energy relative to the elements: -0.133 eV/atom.

---

Entry 3:
DFT (PBE) results for a relaxed structure of HoTh6Sc12.

It has space group R-3m (No. 166, hexagonal axes), with a = 13.9900 Å, b = 13.9900 Å, c = 10.1921 Å, α = 90.00°, β = 90.00° and γ = 120.00°. The asymmetric unit holds Ho at (0.0000, 0.0000, 0.0000), Th at (0.0718, 0.5359, 0.2160), Sc at (0.0000, 0.3912, 0.5000) and Sc at (0.0778, 0.1557, 0.2570).

As for the raw total energy: -6.0361 eV/atom. Its density is 6.05 g/cm³. The density of states at the Fermi level comes out at 33.476 states/eV/f.u. As for the energy relative to the elements: 0.547 eV/atom.

---

Question: What is the density in the first record?
Answer: 7.37 g/cm³

---

Question: Which of these has the lowest raw total energy?
Answer: PmRe3N8

---

What did the second record say?
DFT (PBE) results for a relaxed structure of PmPuTcPd.

It has space group F-43m (No. 216), with a = 6.978 Å, b = 6.978 Å, c = 6.978 Å, α = 90.00°, β = 90.00° and γ = 90.00°. The asymmetric unit holds Pm at (0.000, 0.000, 0.000), Pu at (0.000, 0.000, 0.500), Tc at (0.250, 0.250, 0.750) and Pd at (0.250, 0.250, 0.250).

As for the raw total energy: -8.7930 eV/atom. Its density is 11.60 g/cm³. The density of states at the Fermi level comes out at 7.872 states/eV/f.u. As for the energy relative to the elements: -0.133 eV/atom.

---

Question: The lowest raw total energy belongs to which entry?
Answer: PmRe3N8